Here is crystalline LaTm2WO8 at its relaxed geometry from Alexandria via LeMat-Bulk. Energies are from GGA+U.

Results
E_tot = -7.9506 eV per atom
SG = Cmmm (65)

abc: 4.990 4.990 7.016
angles: 90.00 90.00 90.64
Element x y z (fractional)
1 La 0.000 0.000 0.000
2 Tm 0.500 0.500 0.262
3 Tm 0.500 0.500 0.738
4 W 0.000 0.000 0.500
5 O 0.187 0.813 0.296
6 O 0.187 0.813 0.704
7 O 0.281 0.281 0.500
8 O 0.323 0.323 0.000
9 O 0.677 0.677 0.000
10 O 0.719 0.719 0.500
11 O 0.813 0.187 0.296
12 O 0.813 0.187 0.704